No. 1
The following is a PBE calculation of a geometry-optimized LiAc2Hg structure, from Alexandria via LeMat-Bulk.

Cell lengths 4.1318, 5.6466, 5.6466 Å; angles 90.00, 90.00, 90.00 degrees
Fractional coordinates of all 4 atoms:
1 Ac 0.0000 0.0000 0.5000
2 Ac 0.0000 0.5000 0.0000
3 Hg 0.5000 0.5000 0.5000
4 Li 0.5000 0.0000 0.0000

Values from the calculation:
Magnetization: 0.00 μB/f.u.
Excess energy over the best structure of this formula in the dataset: 0.000 eV per atom
Energy of formation: -225 meV/atom

=====

No. 2
The following is a PBE calculation of a geometry-optimized ErMg2Tl2 structure, from Alexandria via LeMat-Bulk.

Cell lengths 5.1299, 5.1299, 7.1703 Å; angles 59.38, 59.38, 54.14 degrees
Fractional coordinates of all 5 atoms:
1 Mg 0.1967 0.6967 0.3900
2 Er 0.0000 0.5000 0.0000
3 Mg 0.8033 0.3033 0.6100
4 Tl 0.4233 0.9233 0.7711
5 Tl 0.5767 0.0767 0.2289

Values from the calculation:
Magnetization: 0.00 μB/f.u.
Excess energy over the best structure of this formula in the dataset: 0.000 eV per atom
Energy of formation: -158 meV/atom

=====

No. 3
The following is a PBE calculation of a geometry-optimized Rb3PaV2Te6 structure, from Alexandria via LeMat-Bulk.

Cell lengths 7.4025, 7.4025, 8.8874 Å; angles 98.01, 98.01, 119.93 degrees
Site moments in Bohr magnetons follow the coordinates.
Fractional coordinates of all 12 atoms:
1 V 0.3328 0.6672 0.0000  2.42
2 Pa 0.0000 0.0000 0.0000  0.71
3 Te 0.7084 0.7084 0.1843  -0.06
4 Rb 0.1618 0.8382 0.5000  0.00
5 V 0.6672 0.3328 0.0000  2.42
6 Te 0.5850 0.9378 0.8138  -0.06
7 Te 0.2916 0.2916 0.8157  -0.06
8 Te 0.0622 0.4150 0.1862  -0.06
9 Rb 0.5000 0.5000 0.5000  0.00
10 Te 0.4150 0.0622 0.1862  -0.06
11 Rb 0.8382 0.1618 0.5000  0.00
12 Te 0.9378 0.5850 0.8138  -0.06

Values from the calculation:
Energy relative to the elements, uncorrected: -0.741 eV per atom
Magnetization: 6.01 μB/f.u.

=====

No. 4
The following is a PBE calculation of a geometry-optimized NaBe2Cl structure, from Alexandria via LeMat-Bulk.

Cell lengths 4.9891, 4.9891, 4.9891 Å; angles 60.00, 60.00, 60.00 degrees
Fractional coordinates of all 4 atoms:
1 Cl 0.5000 0.5000 0.5000
2 Na 0.0000 0.0000 0.0000
3 Be 0.2500 0.2500 0.2500
4 Be 0.7500 0.7500 0.7500

Values from the calculation:
Energy relative to the elements, uncorrected: 1.038 eV per atom
Magnetization: 0.00 μB/f.u.
Excess energy over the best structure of this formula in the dataset: 0.674 eV per atom

=====

No. 5
The following is a PBE calculation of a geometry-optimized GdHoBe4 structure, from Alexandria via LeMat-Bulk.

Cell lengths 5.0295, 5.0295, 5.0295 Å; angles 60.00, 60.00, 60.00 degrees
Site moments in Bohr magnetons follow the coordinates.
Fractional coordinates of all 6 atoms:
1 Gd 0.0000 0.0000 0.0000  -7.04
2 Be 0.6240 0.6240 0.6240  0.01
3 Be 0.1279 0.6240 0.6240  0.01
4 Be 0.6240 0.6240 0.1279  0.01
5 Be 0.6240 0.1279 0.6240  0.01
6 Ho 0.2500 0.2500 0.2500  0.05

Values from the calculation:
Magnetization: 7.00 μB/f.u.
Energy of formation: 89 meV/atom

=====

No. 6
The following is a PBE calculation of a geometry-optimized MgPaGe structure, from Alexandria via LeMat-Bulk.

Cell lengths 3.3874, 4.6912, 4.6912 Å; angles 120.00, 90.00, 90.00 degrees
Site moments in Bohr magnetons follow the coordinates.
Fractional coordinates of all 3 atoms:
1 Pa 0.6666 0.3333 0.6667  0.67
2 Mg 0.1665 0.6667 0.3333  0.01
3 Ge 0.1669 0.0000 0.0000  -0.02

Values from the calculation:
Magnetization: 0.78 μB/f.u.
Energy of formation: -90 meV/atom

=====

No. 7
The following is a PBE calculation of a geometry-optimized CaInNiPt structure, from Alexandria via LeMat-Bulk.

Cell lengths 4.7130, 4.7130, 4.7130 Å; angles 60.00, 60.00, 60.00 degrees
Fractional coordinates of all 4 atoms:
1 Ca 0.0000 0.0000 0.0000
2 Pt 0.7500 0.7500 0.7500
3 Ni 0.2500 0.2500 0.2500
4 In 0.5000 0.5000 0.5000

Values from the calculation:
Magnetization: 0.00 μB/f.u.
Energy of formation: -400 meV/atom

=====

No. 8
The following is a PBE calculation of a geometry-optimized NaSr2La structure, from Alexandria via LeMat-Bulk.

Cell lengths 3.9257, 3.9257, 11.6570 Å; angles 90.00, 90.00, 90.00 degrees
Fractional coordinates of all 4 atoms:
1 Sr 0.0000 0.0000 0.2506
2 La 0.5000 0.5000 0.5000
3 Na 0.5000 0.5000 0.0000
4 Sr 0.0000 0.0000 0.7494

Values from the calculation:
Magnetization: 0.00 μB/f.u.
Excess energy over the best structure of this formula in the dataset: 0.000 eV per atom
Energy of formation: 96 meV/atom

=====

No. 9
The following is a PBE calculation of a geometry-optimized KGaPt2 structure, from Alexandria via LeMat-Bulk.

Cell lengths 4.2465, 4.2465, 9.7548 Å; angles 90.00, 90.00, 90.00 degrees
Fractional coordinates of all 8 atoms:
1 Ga 0.0000 0.5000 0.3533
2 Pt 0.0000 0.5000 0.1087
3 Pt 0.5000 0.0000 0.8913
4 Ga 0.5000 0.0000 0.6467
5 Pt 0.5000 0.5000 0.5000
6 Pt 0.0000 0.0000 0.5000
7 K 0.0000 0.5000 0.7942
8 K 0.5000 0.0000 0.2058

Values from the calculation:
Magnetization: 0.00 μB/f.u.
Energy of formation: -122 meV/atom

=====

No. 10
The following is a PBE calculation of a geometry-optimized Tm5MgIr4 structure, from Alexandria via LeMat-Bulk.

Cell lengths 3.2994, 3.2994, 19.4591 Å; angles 90.00, 90.00, 90.00 degrees
Fractional coordinates of all 10 atoms:
1 Ir 0.0000 0.0000 0.2237
2 Tm 0.5000 0.5000 0.6820
3 Tm 0.5000 0.5000 0.3180
4 Tm 0.5000 0.5000 0.8619
5 Ir 0.0000 0.0000 0.7763
6 Ir 0.0000 0.0000 0.5912
7 Ir 0.0000 0.0000 0.4088
8 Tm 0.5000 0.5000 0.5000
9 Tm 0.5000 0.5000 0.1381
10 Mg 0.0000 0.0000 0.0000

Values from the calculation:
Magnetization: 0.00 μB/f.u.
Energy of formation: -752 meV/atom

=====

No. 11
The following is a PBE calculation of a geometry-optimized La3NdAg3 structure, from Alexandria via LeMat-Bulk.

Cell lengths 7.4152, 7.4152, 7.4676 Å; angles 89.97, 89.97, 87.20 degrees
Fractional coordinates of all 14 atoms:
1 La 0.3188 0.6812 0.0000
2 Nd 0.1908 0.1908 0.9991
3 La 0.7188 0.7188 0.5001
4 La 0.7268 0.2732 0.5000
5 Nd 0.8092 0.8092 0.0009
6 Ag 0.9999 0.5007 0.7628
7 Ag 0.9993 0.9993 0.6958
8 La 0.2812 0.2812 0.4999
9 Ag 0.5007 0.9999 0.7628
10 Ag 0.0007 0.0007 0.3042
11 La 0.6812 0.3188 0.0000
12 Ag 0.0001 0.4993 0.2372
13 Ag 0.4993 0.0001 0.2372
14 La 0.2732 0.7268 0.5000

Values from the calculation:
Magnetization: 0.00 μB/f.u.
Excess energy over the best structure of this formula in the dataset: 0.000 eV per atom
Energy of formation: -132 meV/atom

=====

No. 12
The following is a PBE calculation of a geometry-optimized Sr2CuHg2 structure, from Alexandria via LeMat-Bulk.

Cell lengths 8.5767, 8.5767, 4.5578 Å; angles 90.00, 90.00, 90.00 degrees
Fractional coordinates of all 10 atoms:
1 Cu 0.5000 0.5000 0.0000
2 Hg 0.6289 0.8711 0.5000
3 Sr 0.3273 0.8273 0.0000
4 Sr 0.8273 0.6727 0.0000
5 Hg 0.8711 0.3711 0.5000
6 Sr 0.6727 0.1727 0.0000
7 Sr 0.1727 0.3273 0.0000
8 Cu 0.0000 0.0000 0.0000
9 Hg 0.3711 0.1289 0.5000
10 Hg 0.1289 0.6289 0.5000

Values from the calculation:
Magnetization: 0.00 μB/f.u.
Excess energy over the best structure of this formula in the dataset: 0.123 eV per atom
Energy of formation: -94 meV/atom

=====

No. 13
The following is a PBE calculation of a geometry-optimized Nd2AlOs2 structure, from Alexandria via LeMat-Bulk.

Cell lengths 5.7840, 5.7058, 8.0289 Å; angles 102.02, 90.00, 120.45 degrees
Fractional coordinates of all 10 atoms:
1 Al 0.8968 0.0000 0.2500
2 Os 0.7107 0.7174 0.4883
3 Nd 0.5028 0.2935 0.1462
4 Nd 0.2092 0.7065 0.3538
5 Al 0.1032 0.0000 0.7500
6 Nd 0.4972 0.7065 0.8538
7 Nd 0.7908 0.2935 0.6462
8 Os 0.0067 0.7174 0.9883
9 Os 0.2893 0.2826 0.5117
10 Os 0.9933 0.2826 0.0117

Values from the calculation:
Magnetization: 0.00 μB/f.u.
Energy of formation: -254 meV/atom

=====

No. 14
The following is a PBE calculation of a geometry-optimized AlO5 structure, from Alexandria via LeMat-Bulk.

Cell lengths 2.9430, 2.9453, 11.2936 Å; angles 108.31, 90.00, 119.97 degrees
Site moments in Bohr magnetons follow the coordinates.
Fractional coordinates of all 6 atoms:
1 O 0.8716 0.7432 0.3675  0.67
2 Al 0.0050 0.0101 0.1185  0.00
3 O 0.2873 0.5745 0.0549  0.01
4 O 0.7674 0.5347 0.2378  0.17
5 O 0.3739 0.7478 0.6376  0.81
6 O 0.5282 0.0563 0.7504  0.80

Values from the calculation:
Energy relative to the elements, uncorrected: -0.923 eV per atom
Magnetization: 2.98 μB/f.u.

=====

No. 15
The following is a PBE calculation of a geometry-optimized TbY2C structure, from Alexandria via LeMat-Bulk.

Cell lengths 3.5487, 3.5487, 9.9052 Å; angles 79.68, 79.68, 60.00 degrees
Site moments in Bohr magnetons follow the coordinates.
Fractional coordinates of all 4 atoms:
1 Y 0.1203 0.1203 0.6390  0.05
2 C 0.5000 0.5000 0.5000  -0.01
3 Y 0.8797 0.8797 0.3610  0.05
4 Tb 0.0000 0.0000 0.0000  0.16

Values from the calculation:
Magnetization: 0.46 μB/f.u.
Energy of formation: -73 meV/atom

=====

Table of uncorrected energy (eV/atom), in record order: -2.833, -2.655, -4.865, -1.616, -5.504, -5.325, -4.541, -2.307, -4.174, -6.691, -4.147, -1.706, -7.402, -5.679, -6.768
Table of N(E_F) (states/eV/cell), in record order: 4.93, 1.72, 2.91, 0.97, 3.11, 4.02, 2.44, 5.34, 0.81, 6.61, 15.44, 5.68, 10.07, 1.64, 4.74